Below is a relaxed PmEr2Tm7 crystal, with properties calculated at the PBE level.

## Properties
**M_tot**: 0.00 μB/f.u.
**V**: 382.5 Å³/cell
**Calculated total energy**: -37.991 eV/cell
**Formation enthalpy at 0 K**: 0.72 eV per atom
**Relative energy among the computed polymorphs**: 0.6934 eV per atom

Cell: 5.479 9.151 9.151 Å, 123.52 90.00 90.00°
Element x y z (fractional)
Tm1 0.000 0.789 0.210
Tm2 0.000 0.211 0.790
Tm3 0.500 0.500 0.500
Tm4 0.500 0.938 0.709
Tm5 0.500 0.062 0.291
Tm6 0.500 0.709 0.938
Tm7 0.500 0.291 0.062
Er1 0.500 0.702 0.298
Er2 0.500 0.298 0.702
Pm1 0.000 0.000 0.000